# 1
4
Lattice="0.0000 3.5726 3.5726 3.5726 0.0000 3.5726 3.5726 3.5726 0.0000" Properties=species:S:1:pos:R:3 comment="LaZnCuPb, relaxed, DFT PBE-GGA" ef_ev_per_atom=-0.2387 space_group="F-43m (216)" total_energy_ev_per_atom=-3.740 pbc="T T T"
La 0.0000 0.0000 0.0000
Zn 5.3589 5.3589 5.3589
Cu 1.7863 1.7863 1.7863
Pb 3.5726 3.5726 3.5726


# 2
8
Lattice="6.6202 0.0000 0.0000 0.0000 3.8143 0.0000 -2.2001 0.0000 6.5549" Properties=species:S:1:pos:R:3 comment="DyHoU2S4, relaxed, DFT PBE-GGA" space_group="P2/m (10)" total_energy_ev_per_atom=-7.699 e_form_raw_ev_per_atom=-1.67 pbc="T T T"
Dy 0.0000 0.0000 0.0000
Ho 3.3101 1.9071 0.0000
U -1.1000 1.9071 3.2774
U 2.2101 0.0000 3.2774
S 1.1112 1.9071 1.6169
S 0.0107 0.0000 4.9424
S 4.4095 0.0000 1.6125
S 3.3090 1.9071 4.9380


# 3
4
Lattice="5.4311 0.0000 0.0000 0.0000 5.4311 0.0000 0.0000 0.0000 4.5587" Properties=species:S:1:pos:R:3 comment="KAcSb2, relaxed, DFT PBE-GGA" de_polymorph_mev_per_atom=90.9 space_group="P4/mmm (123)" total_energy_ev_per_atom=-3.970 e_form_raw_ev_per_atom=-0.61 pbc="T T T"
K 0.0000 0.0000 0.0000
Ac 2.7155 2.7155 0.0000
Sb 0.0000 2.7155 2.2793
Sb 2.7155 0.0000 2.2793


# 4
9
Lattice="3.5156 0.0000 0.0000 -1.7578 3.0446 0.0000 0.0000 0.0000 25.6934" Properties=species:S:1:pos:R:3 comment="Ho2Er6Mg, relaxed, DFT PBE-GGA" ef_ev_per_atom=0.0645 de_polymorph_mev_per_atom=37.4 space_group="P-6m2 (187)" total_energy_ev_per_atom=-4.172 pbc="T T T"
Ho 0.0000 0.0000 4.4606
Ho 0.0000 0.0000 21.2327
Er 0.0000 0.0000 10.1060
Er 0.0000 0.0000 15.5874
Er 1.7578 1.0149 1.6817
Er 1.7578 1.0149 7.3058
Er 1.7578 1.0149 18.3875
Er 1.7578 1.0149 24.0117
Mg 1.7578 1.0149 12.8467


# 5
10
Lattice="6.6300 0.0000 0.0000 0.0000 6.6300 0.0000 0.0000 0.0000 6.1878" Properties=species:S:1:pos:R:3 comment="Cs2As2Ru, relaxed, DFT PBE-GGA" ef_ev_per_atom=-0.0126 de_polymorph_mev_per_atom=0.0 space_group="P4/mbm (127)" total_energy_ev_per_atom=-4.069 pbc="T T T"
Cs 1.2106 2.1045 0.0000
Cs 2.1045 5.4195 0.0000
Cs 4.5256 1.2106 0.0000
Cs 5.4195 4.5256 0.0000
As 0.9451 4.2601 3.0939
As 2.3700 0.9451 3.0939
As 4.2601 5.6850 3.0939
As 5.6850 2.3700 3.0939
Ru 0.0000 0.0000 3.0939
Ru 3.3150 3.3150 3.0939


# 6
10
Lattice="6.8911 0.0000 0.0000 0.0000 6.8911 0.0000 0.0000 0.0000 4.2389" Properties=species:S:1:pos:R:3 comment="K2IO2, relaxed, DFT PBE-GGA" de_polymorph_mev_per_atom=309.8 space_group="P4/mbm (127)" total_energy_ev_per_atom=-3.423 e_form_raw_ev_per_atom=-0.69 pbc="T T T"
K 1.0110 2.4345 0.0000
K 2.4345 5.8801 0.0000
K 4.4566 1.0110 0.0000
K 5.8801 4.4566 0.0000
I 0.0000 0.0000 2.1195
I 3.4456 3.4456 2.1195
O 1.3376 4.7832 2.1195
O 2.1079 1.3376 2.1195
O 4.7832 5.5535 2.1195
O 5.5535 2.1079 2.1195